[1]
A plane-wave DFT calculation with PBE-GGA was carried out for an optimized crystal structure of BaB2As.

The space group is I4_1/amd (No. 141, origin choice 2) and the conventional cell measures 4.5244, 4.5244 and 15.0191 Å, with angles of 90.00, 90.00 and 90.00 degrees. The inequivalent atoms are Ba at (0.0000, 0.2500, 0.3750), B at (0.0000, 0.0000, 0.0000) and As at (0.0000, 0.2500, 0.8750).

The total energy comes out at -71.4 eV for the cell shown. The calculation puts the formation energy at 0.5177 eV/atom.

---

[2]
A plane-wave DFT calculation with PBE-GGA was carried out for an optimized crystal structure of Ti5Nb12W3.

The space group is Ia-3d (No. 230) and the conventional cell measures 15.3515, 15.3515 and 15.3515 Å, with angles of 90.00, 90.00 and 90.00 degrees. The inequivalent atoms are Ti at (0.0000, 0.0000, 0.0000), Ti at (0.0000, 0.2500, 0.3750), Nb at (0.0118, 0.0843, 0.6468) and W at (0.0000, 0.2500, 0.1250).

The total energy comes out at -1376.7 eV for the cell shown. The calculation puts the formation energy at 1.3542 eV/atom.

---

[3]
A plane-wave DFT calculation with PBE-GGA was carried out for an optimized crystal structure of Sr3Fe5S12.

The space group is Ia-3d (No. 230) and the conventional cell measures 14.9566, 14.9566 and 14.9566 Å, with angles of 90.00, 90.00 and 90.00 degrees. The inequivalent atoms are Sr at (0.0000, 0.2500, 0.1250), Fe at (0.0000, 0.0000, 0.0000), Fe at (0.0000, 0.2500, 0.3750) and S at (0.0375, 0.0486, 0.6429).

The total energy comes out at -889.2 eV for the cell shown. The formation energy (no corrections) is -0.713 eV per atom.